VASP calculation (PBE) on a relaxed Ac2PaSb3Rh6 crystal.

Cell: 4.121 4.121 17.287 Å, 90.00 90.00 90.00°
Fractional coordinates of all 12 atoms:
Rh 0.000 0.000 0.848
Rh 0.000 0.500 0.394
Rh 0.500 0.000 0.394
Rh 0.000 0.500 0.606
Rh 0.000 0.000 0.152
Rh 0.500 0.000 0.606
Ac 0.500 0.500 0.137
Ac 0.500 0.500 0.863
Sb 0.000 0.000 0.300
Sb 0.000 0.000 0.000
Sb 0.000 0.000 0.700
Pa 0.500 0.500 0.500

Its crystal system is tetragonal. For the uncorrected formation energy, the calculation gives -0.654 eV per atom. The density of states at the Fermi level comes out at 5.26 states/eV/f.u.